[1]
## BeSn2BiPd (PBE)

Data for an optimized crystal structure of BeSn2BiPd.

CIF file:
```
data_BeSn2BiPd
_symmetry_space_group_name_H-M 'P 4/m m m'
_symmetry_Int_Tables_number 123
_symmetry_space_group_name_Hall '-P 4 2'
_cell_length_a 5.919
_cell_length_b 5.919
_cell_length_c 5.073
_cell_angle_alpha 90.00
_cell_angle_beta 90.00
_cell_angle_gamma 90.00
loop_
_atom_site_label
_atom_site_type_symbol
_atom_site_fract_x
_atom_site_fract_y
_atom_site_fract_z
Be1 Be 0.000 0.000 0.000
Sn1 Sn 0.000 0.500 0.500
Bi1 Bi 0.500 0.500 0.500
Pd1 Pd 0.500 0.500 0.000
```

Computed properties:
Electronic total energy   -2.99 eV per atom
ΔH_f (0 K)   5.9 eV/f.u.

[2]
## ZnAsSe2Br (PBE)

Data for an optimized crystal structure of ZnAsSe2Br.

CIF file:
```
data_ZnAsSe2Br
_symmetry_space_group_name_H-M 'P 4/m m m'
_symmetry_Int_Tables_number 123
_symmetry_space_group_name_Hall '-P 4 2'
_cell_length_a 4.825
_cell_length_b 4.825
_cell_length_c 5.288
_cell_angle_alpha 90.00
_cell_angle_beta 90.00
_cell_angle_gamma 90.00
loop_
_atom_site_label
_atom_site_type_symbol
_atom_site_fract_x
_atom_site_fract_y
_atom_site_fract_z
Zn1 Zn 0.000 0.000 0.000
As1 As 0.000 0.000 0.500
Se1 Se 0.000 0.500 0.000
Br1 Br 0.500 0.500 0.500
```

Computed properties:
Electronic total energy   -2.36 eV per atom
Raw formation energy   0.55 eV/atom

[3]
## Pm5Sm8Y (PBE)

Data for an optimized crystal structure of Pm5Sm8Y.

CIF file:
```
data_Pm5Sm8Y
_symmetry_space_group_name_H-M 'I -4'
_symmetry_Int_Tables_number 82
_symmetry_space_group_name_Hall 'I -4'
_cell_length_a 9.739
_cell_length_b 9.739
_cell_length_c 10.267
_cell_angle_alpha 90.00
_cell_angle_beta 90.00
_cell_angle_gamma 90.00
loop_
_atom_site_label
_atom_site_type_symbol
_atom_site_fract_x
_atom_site_fract_y
_atom_site_fract_z
Pm1 Pm 0.000 0.000 0.000
Pm2 Pm 0.108 0.210 0.575
Sm1 Sm 0.071 0.325 0.903
Sm2 Sm 0.085 0.179 0.246
Y1 Y 0.000 0.500 0.250
```

Computed properties:
Electronic total energy   -4.62 eV per atom
ΔH_f (0 K)   3.3 eV/f.u.

Question: Which formula does entry 1 have?
Answer: BeSn2BiPd

Question: The lowest electronic total energy belongs to which entry?
Answer: Pm5Sm8Y

Question: Which of these has the highest electronic total energy?
Answer: ZnAsSe2Br